The following is a DFT calculation (PBE) of a relaxed structure of Pr6Hg8Pb.

* formation enthalpy at 0 K: -352 meV/atom
* SG: R-3

The structure in POSCAR format:
```
Pr6Hg8Pb
1.0
4.5169 2.6078 6.5687
-4.5169 2.6078 6.5687
0.0000 -5.2157 6.5687
Pr Hg Pb
6 8 1
Direct
0.1160 0.3727 0.8094
0.1906 0.8840 0.6273
0.3727 0.8094 0.1160
0.6272 0.1906 0.8840
0.8094 0.1160 0.3727
0.8840 0.6272 0.1906
0.0410 0.6857 0.4402
0.1993 0.1993 0.1993
0.3143 0.5598 0.9590
0.4402 0.0410 0.6857
0.5598 0.9590 0.3143
0.6857 0.4402 0.0410
0.8007 0.8007 0.8007
0.9590 0.3143 0.5598
0.5000 0.5000 0.5000
```

The following is a DFT calculation (PBE) of a relaxed structure of PrHg3Pb.

* formation enthalpy at 0 K: -48 meV/atom
* SG: Cmcm

The structure in POSCAR format:
```
PrHg3Pb
1.0
2.9884 -9.5961 0.0000
2.9884 9.5961 0.0000
0.0000 0.0000 5.5377
Pr Hg Pb
2 6 2
Direct
0.1545 0.8455 0.7500
0.8455 0.1545 0.2500
0.0000 0.0000 0.0000
0.0000 0.0000 0.5000
0.0492 0.4476 0.7500
0.4476 0.0492 0.2500
0.5524 0.9508 0.7500
0.9508 0.5524 0.2500
0.4503 0.5497 0.7500
0.5497 0.4503 0.2500
```

The following is a DFT calculation (PBE) of a relaxed structure of Pr2HgPb4.

* formation enthalpy at 0 K: -359 meV/atom
* SG: Cmmm

The structure in POSCAR format:
```
Pr2HgPb4
1.0
4.7204 -4.8507 0.0000
4.7204 4.8507 0.0000
0.0000 0.0000 4.8038
Pr Hg Pb
2 1 4
Direct
0.2462 0.7538 0.0000
0.7538 0.2462 0.0000
0.0000 0.0000 0.5000
0.0000 0.5000 0.5000
0.2617 0.2617 0.0000
0.5000 0.0000 0.5000
0.7383 0.7383 0.0000
```

The following is a DFT calculation (PBE) of a relaxed structure of PrHg2Pb2.

* formation enthalpy at 0 K: -288 meV/atom
* SG: Cmcm

The structure in POSCAR format:
```
PrHg2Pb2
1.0
2.4321 -12.2643 0.0000
2.4321 12.2643 0.0000
0.0000 0.0000 4.6970
Pr Hg Pb
2 4 4
Direct
0.1384 0.8616 0.7500
0.8616 0.1384 0.2500
0.0425 0.9575 0.2500
0.4550 0.5450 0.2500
0.5450 0.4550 0.7500
0.9575 0.0425 0.7500
0.2495 0.7505 0.2500
0.3573 0.6427 0.7500
0.6427 0.3573 0.2500
0.7505 0.2495 0.7500
```

The following is a DFT calculation (PBE) of a relaxed structure of Pr2Hg8Pb.

* formation enthalpy at 0 K: -258 meV/atom
* SG: P4/mmm

The structure in POSCAR format:
```
Pr2Hg8Pb
1.0
4.8584 0.0000 0.0000
0.0000 4.8584 0.0000
0.0000 0.0000 12.8688
Pr Hg Pb
2 8 1
Direct
0.0000 0.0000 0.1802
0.0000 0.0000 0.8198
0.0000 0.5000 0.0000
0.0000 0.5000 0.3485
0.0000 0.5000 0.6515
0.5000 0.0000 0.0000
0.5000 0.0000 0.3485
0.5000 0.0000 0.6515
0.5000 0.5000 0.1724
0.5000 0.5000 0.8276
0.0000 0.0000 0.5000
```

The following is a DFT calculation (PBE) of a relaxed structure of Pr6Hg5Pb.

* formation enthalpy at 0 K: -485 meV/atom
* SG: C2/m

The structure in POSCAR format:
```
Pr6Hg5Pb
1.0
8.6818 -3.8943 0.0000
8.6818 3.8943 0.0000
-1.7188 0.0000 5.2039
Pr Hg Pb
6 5 1
Direct
0.0802 0.5838 0.3319
0.2467 0.7533 0.0000
0.4162 0.9198 0.6681
0.5838 0.0802 0.3319
0.7533 0.2467 0.0000
0.9198 0.4162 0.6681
0.0000 0.0000 0.5000
0.1666 0.1666 0.1664
0.3301 0.3301 0.8297
0.6699 0.6699 0.1703
0.8334 0.8334 0.8336
0.5000 0.5000 0.5000
```

The following is a DFT calculation (PBE) of a relaxed structure of Pr2Hg2Pb.

* formation enthalpy at 0 K: -423 meV/atom
* SG: C2/m

The structure in POSCAR format:
```
Pr2Hg2Pb
1.0
5.9090 -2.3960 0.0000
5.9090 2.3960 0.0000
-4.8001 0.0000 10.3920
Pr Hg Pb
4 4 2
Direct
0.0108 0.0108 0.3312
0.1783 0.1783 0.0927
0.8217 0.8217 0.9073
0.9892 0.9892 0.6688
0.3620 0.3620 0.4535
0.4516 0.4516 0.1084
0.5484 0.5484 0.8916
0.6380 0.6380 0.5465
0.2821 0.2821 0.6872
0.7179 0.7179 0.3128
```

The following is a DFT calculation (PBE) of a relaxed structure of Pr6HgPb.

* formation enthalpy at 0 K: -259 meV/atom
* SG: P4/mmm

The structure in POSCAR format:
```
Pr6HgPb
1.0
5.0273 0.0000 0.0000
0.0000 5.0273 0.0000
0.0000 0.0000 9.9619
Pr Hg Pb
6 1 1
Direct
0.0000 0.0000 0.0000
0.0000 0.0000 0.5000
0.0000 0.5000 0.2480
0.0000 0.5000 0.7520
0.5000 0.0000 0.2480
0.5000 0.0000 0.7520
0.5000 0.5000 0.0000
0.5000 0.5000 0.5000
```

The following is a DFT calculation (PBE) of a relaxed structure of PrHg3Pb.

* formation enthalpy at 0 K: -251 meV/atom
* SG: Pnma

The structure in POSCAR format:
```
PrHg3Pb
1.0
8.3545 0.0000 0.0000
0.0000 7.4539 0.0000
0.0000 0.0000 8.7985
Pr Hg Pb
4 12 4
Direct
0.1346 0.2500 0.1818
0.3654 0.7500 0.6818
0.6346 0.2500 0.3182
0.8654 0.7500 0.8182
0.1490 0.0539 0.8349
0.1490 0.4461 0.8349
0.1664 0.7500 0.0719
0.3336 0.2500 0.5719
0.3510 0.5539 0.3349
0.3510 0.9461 0.3349
0.6490 0.0539 0.6651
0.6490 0.4461 0.6651
0.6664 0.7500 0.4281
0.8336 0.2500 0.9281
0.8510 0.5539 0.1651
0.8510 0.9461 0.1651
0.0000 0.0000 0.5000
0.0000 0.5000 0.5000
0.5000 0.0000 0.0000
0.5000 0.5000 0.0000
```

The following is a DFT calculation (PBE) of a relaxed structure of Pr4HgPb3.

* formation enthalpy at 0 K: -531 meV/atom
* SG: Pmm2

The structure in POSCAR format:
```
Pr4HgPb3
1.0
4.5837 0.0000 0.0000
0.0000 4.6609 0.0000
0.0000 0.0000 12.0320
Pr Hg Pb
4 1 3
Direct
0.0000 0.0000 0.0000
0.0000 0.5000 0.4941
0.5000 0.0000 0.7272
0.5000 0.5000 0.2280
0.0000 0.0000 0.2710
0.0000 0.5000 0.7657
0.5000 0.0000 0.4486
0.5000 0.5000 0.9565
```

The following is a DFT calculation (PBE) of a relaxed structure of Pr2HgPb.

* formation enthalpy at 0 K: -486 meV/atom
* SG: I4/mmm

The structure in POSCAR format:
```
Pr2HgPb
1.0
-2.8533 2.8533 3.9994
2.8533 -2.8533 3.9994
2.8533 2.8533 -3.9994
Pr Hg Pb
2 1 1
Direct
0.2500 0.7500 0.5000
0.7500 0.2500 0.5000
0.0000 0.0000 0.0000
0.5000 0.5000 0.0000
```

The following is a DFT calculation (PBE) of a relaxed structure of Pr2Hg6Pb.

* formation enthalpy at 0 K: -282 meV/atom
* SG: P6/mmm

The structure in POSCAR format:
```
Pr2Hg6Pb
1.0
8.8516 0.0000 0.0000
-4.4258 7.6657 0.0000
0.0000 0.0000 3.5198
Pr Hg Pb
2 6 1
Direct
0.3333 0.6667 0.0000
0.6667 0.3333 0.0000
0.0000 0.3321 0.5000
0.0000 0.6679 0.5000
0.3321 0.0000 0.5000
0.3321 0.3321 0.5000
0.6679 0.0000 0.5000
0.6679 0.6679 0.5000
0.0000 0.0000 0.0000
```

Which of these has the lowest formation enthalpy at 0 K?
Pr4HgPb3